Record 1
The following is a PBE calculation of BaCd9Au2 after structural relaxation, from Alexandria via LeMat-Bulk.

a b c (Å): 12.042 12.042 7.759
angles (deg): 90.00 90.00 90.00
Space group I4_1/amd (No. 141, origin choice 2)
Symmetry-distinct sites (fractional):
1 Ba 0.000 0.250 0.375 [4 per cell]
2 Cd 0.000 0.250 0.875 [4 per cell]
3 Cd 0.121 0.048 0.681 [32 per cell]
4 Au 0.000 0.000 0.000 [8 per cell]

Summary:
relative energy among the computed polymorphs	0.0000	eV per atom
formation energy	-0.26	eV/atom
calculated volume	1125.0	Å³ per cell

---

Record 2
The following is a PBE calculation of PmTaB2O8 after structural relaxation, from Alexandria via LeMat-Bulk.

a b c (Å): 8.100 5.088 6.967
angles (deg): 90.00 90.37 90.00
Space group C2/m (No. 12)
Symmetry-distinct sites (fractional):
1 Pm 0.000 0.000 0.000 [2 per cell]
2 Ta 0.000 0.000 0.500 [2 per cell]
3 B 0.144 0.500 0.265 [4 per cell]
4 O 0.042 0.261 0.289 [8 per cell]
5 O 0.208 0.500 0.067 [4 per cell]
6 O 0.225 0.000 0.593 [4 per cell]

Summary:
energy relative to the elements, uncorrected	-2.391	eV per atom
calculated volume	287.1	Å³ per cell

---

Record 3
The following is a PBE calculation of Li3TaO4 after structural relaxation, from Alexandria via LeMat-Bulk.

a b c (Å): 6.598 5.684 5.019
angles (deg): 90.00 90.00 90.00
Space group Pmn2_1 (No. 31)
Symmetry-distinct sites (fractional):
1 Li 0.000 0.183 0.000 [2 per cell]
2 Li 0.246 0.338 0.502 [4 per cell]
3 Ta 0.000 0.836 0.494 [2 per cell]
4 O 0.000 0.151 0.603 [2 per cell]
5 O 0.000 0.833 0.121 [2 per cell]
6 O 0.234 0.676 0.604 [4 per cell]

Summary:
relative energy among the computed polymorphs	0.0173	eV per atom
energy relative to the elements, uncorrected	-2.483	eV per atom
calculated volume	188.2	Å³ per cell

---

Record 4
The following is a PBE calculation of Ac3TlRhCl after structural relaxation, from Alexandria via LeMat-Bulk.

a b c (Å): 8.981 4.517 10.436
angles (deg): 90.00 105.43 90.00
Space group P2_1/m (No. 11)
Symmetry-distinct sites (fractional):
1 Ac 0.053 0.250 0.357 [2 per cell]
2 Ac 0.218 0.250 0.965 [2 per cell]
3 Ac 0.388 0.750 0.627 [2 per cell]
4 Tl 0.283 0.750 0.244 [2 per cell]
5 Rh 0.171 0.250 0.647 [2 per cell]
6 Cl 0.411 0.750 0.910 [2 per cell]

Summary:
energy relative to the elements, uncorrected	-0.797	eV per atom
calculated volume	408.1	Å³ per cell

---

Record 5
The following is a PBE calculation of Ta2MnCl after structural relaxation, from Alexandria via LeMat-Bulk.

a b c (Å): 3.1207 3.1207 23.8400
angles (deg): 90.00 90.00 120.00
Space group R-3m (No. 166, hexagonal axes)
Symmetry-distinct sites (fractional):
1 Ta 0.0000 0.0000 0.2389 [6 per cell]
2 Mn 0.0000 0.0000 0.5000 [3 per cell]
3 Cl 0.0000 0.0000 0.0000 [3 per cell]

Summary:
relative energy among the computed polymorphs	0.2836	eV per atom
energy relative to the elements, uncorrected	0.235	eV per atom
calculated volume	201.1	Å³ per cell

---

Record 6
The following is a PBE calculation of Tm9ScIn2 after structural relaxation, from Alexandria via LeMat-Bulk.

a b c (Å): 4.788 4.788 14.556
angles (deg): 90.00 90.00 90.00
Space group P4/mmm (No. 123)
Symmetry-distinct sites (fractional):
1 Tm 0.000 0.000 0.000 [1 per cell]
2 Tm 0.000 0.000 0.336 [2 per cell]
3 Tm 0.000 0.500 0.168 [4 per cell]
4 Tm 0.000 0.500 0.500 [2 per cell]
5 Sc 0.500 0.500 0.000 [1 per cell]
6 In 0.500 0.500 0.337 [2 per cell]

Summary:
formation energy	-0.16	eV/atom
calculated volume	333.7	Å³ per cell